# CoPb | Alexandria via LeMat-Bulk | PBE-GGA | optimized geometry
data_CoPb
_cell_length_a 6.818
_cell_length_b 6.818
_cell_length_c 6.818
_cell_angle_alpha 33.57
_cell_angle_beta 33.57
_cell_angle_gamma 33.57
_symmetry_space_group_name_H-M 'P 1'
_symmetry_Int_Tables_number 1
loop_
_symmetry_equiv_pos_as_xyz
'x,y,z'
loop_
_atom_site_label
_atom_site_fract_x
_atom_site_fract_y
_atom_site_fract_z
Co1 0.340 0.340 0.340
Co2 0.660 0.660 0.660
Pb1 0.094 0.094 0.094
Pb2 0.906 0.906 0.906
# - energy of formation (eV per atom) = 0.310
# - space group = No. 166

***

# YLu2Mn | Alexandria via LeMat-Bulk | PBE-GGA | optimized geometry
data_YLu2Mn
_cell_length_a 3.469
_cell_length_b 3.469
_cell_length_c 8.550
_cell_angle_alpha 90.00
_cell_angle_beta 90.00
_cell_angle_gamma 90.00
_symmetry_space_group_name_H-M 'P 1'
_symmetry_Int_Tables_number 1
loop_
_symmetry_equiv_pos_as_xyz
'x,y,z'
loop_
_atom_site_label
_atom_site_fract_x
_atom_site_fract_y
_atom_site_fract_z
Lu1 0.000 0.000 0.804
Lu2 0.000 0.000 0.196
Mn1 0.500 0.500 0.000
Y1 0.500 0.500 0.500
# - energy of formation (eV per atom) = 0.094
# - space group = No. 123

***

# NaCdSN2 | Alexandria via LeMat-Bulk | PBE-GGA | optimized geometry
data_NaCdSN2
_cell_length_a 4.407
_cell_length_b 4.407
_cell_length_c 5.262
_cell_angle_alpha 90.00
_cell_angle_beta 90.00
_cell_angle_gamma 90.00
_symmetry_space_group_name_H-M 'P 1'
_symmetry_Int_Tables_number 1
loop_
_symmetry_equiv_pos_as_xyz
'x,y,z'
loop_
_atom_site_label
_atom_site_fract_x
_atom_site_fract_y
_atom_site_fract_z
S1 0.000 0.000 0.500
Na1 0.500 0.500 0.500
N1 0.000 0.500 0.000
N2 0.500 0.000 0.000
Cd1 0.000 0.000 0.000
# - offset from the most stable computed form (meV per atom) = 0.0
# - space group = No. 123

***

# CsBa2U3Se8 | Alexandria via LeMat-Bulk | PBE-GGA | optimized geometry
data_CsBa2U3Se8
_cell_length_a 8.789
_cell_length_b 8.789
_cell_length_c 9.403
_cell_angle_alpha 62.14
_cell_angle_beta 62.14
_cell_angle_gamma 60.00
_symmetry_space_group_name_H-M 'P 1'
_symmetry_Int_Tables_number 1
loop_
_symmetry_equiv_pos_as_xyz
'x,y,z'
loop_
_atom_site_label
_atom_site_fract_x
_atom_site_fract_y
_atom_site_fract_z
Se1 0.749 0.309 0.193
Se2 0.309 0.749 0.193
Se3 0.699 0.251 0.798
Se4 0.725 0.725 0.824
Se5 0.267 0.267 0.198
Se6 0.251 0.699 0.798
Se7 0.749 0.749 0.193
Se8 0.251 0.251 0.798
U1 0.500 0.500 0.002
U2 0.500 0.997 0.002
U3 0.997 0.500 0.002
Ba1 0.502 0.502 0.495
Ba2 0.126 0.126 0.621
Cs1 0.865 0.865 0.406
# - VASP energy (eV per atom) = -6.109
# - space group = No. 160

***

# CaNbSnO6 | Alexandria via LeMat-Bulk | PBE-GGA | optimized geometry
data_CaNbSnO6
_cell_length_a 5.468
_cell_length_b 5.468
_cell_length_c 9.828
_cell_angle_alpha 90.00
_cell_angle_beta 90.00
_cell_angle_gamma 120.00
_symmetry_space_group_name_H-M 'P 1'
_symmetry_Int_Tables_number 1
loop_
_symmetry_equiv_pos_as_xyz
'x,y,z'
loop_
_atom_site_label
_atom_site_fract_x
_atom_site_fract_y
_atom_site_fract_z
Sn1 0.333 0.667 0.250
Sn2 0.667 0.333 0.750
Ca1 0.000 0.000 0.500
Ca2 0.000 0.000 0.000
O1 0.369 0.360 0.362
O2 0.360 0.369 0.862
O3 0.990 0.360 0.138
O4 0.010 0.640 0.862
O5 0.990 0.631 0.362
O6 0.010 0.369 0.638
O7 0.369 0.010 0.138
O8 0.360 0.990 0.638
O9 0.631 0.640 0.638
O10 0.631 0.990 0.862
O11 0.640 0.010 0.362
O12 0.640 0.631 0.138
Nb1 0.333 0.667 0.750
Nb2 0.667 0.333 0.250
# - VASP energy (eV per atom) = -7.191
# - space group = No. 163

***

# KAlPt | Alexandria via LeMat-Bulk | PBE-GGA | optimized geometry
data_KAlPt
_cell_length_a 6.619
_cell_length_b 6.619
_cell_length_c 6.619
_cell_angle_alpha 154.76
_cell_angle_beta 143.92
_cell_angle_gamma 44.54
_symmetry_space_group_name_H-M 'P 1'
_symmetry_Int_Tables_number 1
loop_
_symmetry_equiv_pos_as_xyz
'x,y,z'
loop_
_atom_site_label
_atom_site_fract_x
_atom_site_fract_y
_atom_site_fract_z
Al1 0.070 0.070 0.000
K1 0.332 0.332 0.000
Pt1 0.598 0.598 0.000
# - offset from the most stable computed form (meV per atom) = 116.6
# - energy of formation (eV per atom) = -0.437
# - space group = No. 44

***

# LaNiCl | Alexandria via LeMat-Bulk | PBE-GGA | optimized geometry
data_LaNiCl
_cell_length_a 4.643
_cell_length_b 4.643
_cell_length_c 4.643
_cell_angle_alpha 60.00
_cell_angle_beta 60.00
_cell_angle_gamma 60.00
_symmetry_space_group_name_H-M 'P 1'
_symmetry_Int_Tables_number 1
loop_
_symmetry_equiv_pos_as_xyz
'x,y,z'
loop_
_atom_site_label
_atom_site_fract_x
_atom_site_fract_y
_atom_site_fract_z
Cl1 0.000 0.000 0.000
Ni1 0.250 0.250 0.250
La1 0.500 0.500 0.500
# - VASP energy (eV per atom) = -4.715
# - space group = No. 216

***

# Dy2Zn5Cu5 | Alexandria via LeMat-Bulk | PBE-GGA | optimized geometry
data_Dy2Zn5Cu5
_cell_length_a 4.180
_cell_length_b 5.151
_cell_length_c 8.881
_cell_angle_alpha 90.00
_cell_angle_beta 90.00
_cell_angle_gamma 90.00
_symmetry_space_group_name_H-M 'P 1'
_symmetry_Int_Tables_number 1
loop_
_symmetry_equiv_pos_as_xyz
'x,y,z'
loop_
_atom_site_label
_atom_site_fract_x
_atom_site_fract_y
_atom_site_fract_z
Cu1 0.000 0.500 0.665
Cu2 0.500 0.000 0.000
Cu3 0.000 0.000 0.163
Cu4 0.000 0.500 0.335
Cu5 0.000 0.000 0.837
Dy1 0.000 0.500 0.000
Dy2 0.000 0.000 0.500
Zn1 0.500 0.249 0.245
Zn2 0.500 0.751 0.245
Zn3 0.500 0.500 0.500
Zn4 0.500 0.751 0.755
Zn5 0.500 0.249 0.755
# - offset from the most stable computed form (meV per atom) = 0.0
# - energy of formation (eV per atom) = -0.291
# - space group = No. 47